Record 1
## Te2MoCl (PBE)

Data for Te2MoCl after structural relaxation.

Unit cell a=9.377 b=9.377 c=9.377 alpha=22.51 beta=22.51 gamma=22.51
Element x y z (fractional)
Te: 0.102 0.102 0.102
Te: 0.898 0.898 0.898
Mo: 0.500 0.500 0.500
Cl: 0.000 0.000 0.000

- VASP energy (eV/atom) = -4.793
- polymorph energy (0 for the lowest one) (meV per atom) = 113
- uncorrected formation energy (eV per atom) = -0.05
- D(E_F) (states/eV per atom) = 1.000
- crystal system = trigonal
- total magnetic moment (μB/f.u.) = 0.00

Record 2
## RbSr2Si2 (PBE)

Data for RbSr2Si2 after structural relaxation.

Unit cell a=9.611 b=9.611 c=3.410 alpha=90.00 beta=90.00 gamma=90.00
Element x y z (fractional)
Rb: 0.000 0.000 0.000
Rb: 0.500 0.500 0.000
Sr: 0.129 0.371 0.000
Sr: 0.371 0.871 0.000
Sr: 0.629 0.129 0.000
Sr: 0.871 0.629 0.000
Si: 0.169 0.669 0.500
Si: 0.331 0.169 0.500
Si: 0.669 0.831 0.500
Si: 0.831 0.331 0.500

- VASP energy (eV/atom) = -3.054
- polymorph energy (0 for the lowest one) (meV per atom) = 91
- uncorrected formation energy (eV per atom) = -0.02
- D(E_F) (states/eV per atom) = 0.610
- crystal system = tetragonal
- total magnetic moment (μB/f.u.) = 0.00

Q: total magnetic moment of number 2 (RbSr2Si2)?
A: 0.00 μB/f.u.